# FeSi3

A relaxed structure of FeSi3 (PBE, the Alexandria database).

Unit cell a=2.996 b=4.291 c=3.993 alpha=90.00 beta=90.00 gamma=90.00
Space group Pmm2 (No. 25)
Asymmetric unit:
Fe 0.000 0.000 0.000 [1 per cell]
Si 0.000 0.500 0.269 [1 per cell]
Si 0.500 0.000 0.456 [1 per cell]
Si 0.500 0.500 0.782 [1 per cell]

Values from the calculation:
formation energy from raw total energies	0.200	eV per atom
total moment	0.79	μB/f.u.


# Fe7Si

A relaxed structure of Fe7Si (PBE, the Alexandria database).

Unit cell a=7.207 b=7.207 c=7.207 alpha=90.00 beta=90.00 gamma=90.00
Space group Fm-3m (No. 225)
Asymmetric unit:
Fe 0.000 0.000 0.000 [4 per cell]
Fe 0.000 0.250 0.250 [24 per cell]
Si 0.000 0.000 0.500 [4 per cell]

Values from the calculation:
formation energy from raw total energies	-0.049	eV per atom
total moment	16.73	μB/f.u.


# Fe2Si3

A relaxed structure of Fe2Si3 (PBE, the Alexandria database).

Unit cell a=3.8417 b=3.8417 c=4.6745 alpha=90.00 beta=90.00 gamma=120.00
Space group P-3m1 (No. 164)
Asymmetric unit:
Fe 0.3333 0.6667 0.3487 [2 per cell]
Si 0.0000 0.0000 0.5000 [1 per cell]
Si 0.3333 0.6667 0.8587 [2 per cell]

Values from the calculation:
formation energy from raw total energies	-0.384	eV per atom
total moment	0.00	μB/f.u.


# Fe3Si2

A relaxed structure of Fe3Si2 (PBE, the Alexandria database).

Unit cell a=4.527 b=8.136 c=12.222 alpha=90.00 beta=90.00 gamma=90.00
Space group Fddd (No. 70, origin choice 2)
Asymmetric unit:
Fe 0.125 0.125 0.014 [16 per cell]
Fe 0.125 0.125 0.625 [8 per cell]
Si 0.125 0.125 0.430 [16 per cell]

Values from the calculation:
formation energy from raw total energies	-0.293	eV per atom
total moment	4.69	μB/f.u.


# Fe2Si

A relaxed structure of Fe2Si (PBE, the Alexandria database).

Unit cell a=3.798 b=3.798 c=2.729 alpha=90.00 beta=90.00 gamma=90.00
Space group P4/mmm (No. 123)
Asymmetric unit:
Fe 0.000 0.500 0.000 [2 per cell]
Si 0.000 0.000 0.500 [1 per cell]

Values from the calculation:
formation energy from raw total energies	0.117	eV per atom
total moment	3.59	μB/f.u.


# Fe13Si2

A relaxed structure of Fe13Si2 (PBE, the Alexandria database).

Unit cell a=4.668 b=6.195 c=6.927 alpha=111.19 beta=104.32 gamma=102.33
Space group P-1 (No. 2)
Asymmetric unit:
Fe 0.000 0.000 0.000 [1 per cell]
Fe 0.067 0.464 0.333 [2 per cell]
Fe 0.126 0.937 0.667 [2 per cell]
Fe 0.202 0.399 0.001 [2 per cell]
Fe 0.269 0.861 0.336 [2 per cell]
Fe 0.334 0.339 0.666 [2 per cell]
Fe 0.398 0.802 0.003 [2 per cell]
Si 0.467 0.253 0.327 [2 per cell]

Values from the calculation:
formation energy from raw total energies	-0.143	eV per atom
energy relative to the lowest polymorph listed for this composition	0.40	kJ per mole of atoms
total moment	28.17	μB/f.u.